1.
# Pr2PbBr

Crystalline Pr2PbBr at its relaxed geometry (PBE, Alexandria).

a = 3.6638 Å, b = 3.6638 Å, c = 8.5729 Å
α = 90.00°, β = 90.00°, γ = 90.00°
Closest atoms and distances in Å follow each position.
Space group P4/mmm (No. 123)
Inequivalent atoms, fractional coordinates:
Pr (0.0000, 0.0000, 0.2462) x2  4 Br 3.34, 4 Pb 3.38, 4 Pr 3.66
Pb (0.5000, 0.5000, 0.5000) x1  8 Pr 3.38, 4 Pb 3.66
Br (0.5000, 0.5000, 0.0000) x1  8 Pr 3.34, 4 Br 3.66

Output
**Raw total energy**: -4.557 eV per atom
**Mass density**: 8.21 g cm⁻³
**Energy relative to the elements, uncorrected**: -79.3 kJ/mol of atoms

2.
# Pr7PbBr12

Crystalline Pr7PbBr12 at its relaxed geometry (PBE, Alexandria).

a = 15.9073 Å, b = 15.9073 Å, c = 9.6964 Å
α = 90.00°, β = 90.00°, γ = 120.00°
Closest atoms and distances in Å follow each position.
Space group R-3 (No. 148, hexagonal axes)
Inequivalent atoms, fractional coordinates:
Pr (0.0000, 0.0000, 0.0000) x3  6 Br 3.08
Pr (0.0458, 0.8745, 0.3054) x18  5 Br 3.00-3.09, 1 Pb 3.09
Pb (0.0000, 0.0000, 0.5000) x3  6 Pr 3.09
Br (0.0371, 0.4488, 0.1639) x18  3 Pr 3.08-3.09
Br (0.0507, 0.8605, 0.8505) x18  3 Pr 3.00-3.08

Output
**Raw total energy**: -4.427 eV per atom
**Mass density**: 5.05 g cm⁻³
**Energy relative to the elements, uncorrected**: -151.0 kJ/mol of atoms